A relaxed structure of RbSrMnF6, computed with PBE with a Hubbard U.

Summary:
energy	-93.3	eV/cell
density of states at the Fermi level	0.752	states/eV/atom
V	18.97	Å³ per atom

Unit cell a=6.0169 b=6.0169 c=10.8910 alpha=90.00 beta=90.00 gamma=120.00
Element x y z (fractional)
Rb: 0.0000 0.0000 0.0000
Rb: 0.0000 0.0000 0.5000
Sr: 0.3333 0.6667 0.2500
Sr: 0.6667 0.3333 0.7500
Mn: 0.3333 0.6667 0.7500
Mn: 0.6667 0.3333 0.2500
F: 0.0623 0.4063 0.6508
F: 0.0623 0.6560 0.8492
F: 0.3440 0.4063 0.8492
F: 0.3440 0.9377 0.6508
F: 0.4063 0.0623 0.1508
F: 0.4063 0.3440 0.3492
F: 0.5937 0.6560 0.6508
F: 0.5937 0.9377 0.8492
F: 0.6560 0.0623 0.3492
F: 0.6560 0.5937 0.1508
F: 0.9377 0.3440 0.1508
F: 0.9377 0.5937 0.3492